DFT (PBE+U) results for a geometry-optimized Mn2InGeO6 structure.

- Total energy: -6.693 eV per atom

Unit cell a=5.1876 b=5.1934 c=5.6230 alpha=62.61 beta=89.97 gamma=60.10
Last column: nearest neighbours and their distance in Å.
Space group P1 (No. 1)
Unique sites:
Mn  0.0000  0.0000  0.0000 (multiplicity 1)  6 O 1.99-2.02
Mn  0.4773  0.0453  0.4300 (multiplicity 1)  6 O 2.12-2.33
In  0.2050  0.5900  0.6123 (multiplicity 1)  6 O 2.12-2.34
Ge  0.6861  0.6254  0.0578 (multiplicity 1)  6 O 1.91-1.98
O  0.0473  0.1522  0.2541 (multiplicity 1)  1 Ge 1.92, 2 Mn 1.99-2.13
O  0.2915  0.0827  0.7985 (multiplicity 1)  1 Ge 1.98, 1 Mn 1.99, 1 In 2.13
O  0.4098  0.5411  0.2553 (multiplicity 1)  1 Ge 1.91, 2 Mn 2.02-2.12
O  0.6247  0.4940  0.7965 (multiplicity 1)  1 Ge 1.97, 1 Mn 2.00, 1 In 2.12
O  0.7986  0.7919  0.2541 (multiplicity 1)  1 Ge 1.92, 2 Mn 2.00-2.12
O  0.8807  0.8255  0.7968 (multiplicity 1)  1 Ge 1.97, 1 Mn 2.01, 1 In 2.13